1.
A geometry-optimized Sr2MgTi6N2O11 structure, computed with PBE-GGA.

Values from the calculation:
Its distance to the lowest polymorph of the same formula is 0.0284 eV/atom.

Cell and atoms, written as extended XYZ:
```
22
Lattice="4.038 0.090 0.080 -0.856 8.766 0.582 0.098 -2.357 7.456" Properties=species:S:1:pos:R:3 pbc="T T T"
O 0.740 1.832 5.108
Ti 2.639 3.711 1.416
O 0.672 4.149 7.551
O 0.914 -1.252 6.119
Sr 0.536 7.317 2.692
O 2.591 5.018 6.000
Ti 2.714 4.147 7.783
Mg 0.526 5.635 6.083
O 0.568 4.928 4.085
N 0.613 3.414 1.205
O 2.833 8.277 1.237
O 2.458 7.062 4.263
O 2.659 3.108 3.373
Sr 2.873 0.183 5.237
O 2.653 1.943 0.376
Ti 0.669 2.639 3.250
Ti 2.566 5.250 4.027
N 2.577 5.565 2.040
Ti 0.296 1.189 0.448
Ti 0.734 2.245 6.992
O 0.782 1.001 2.484
O 2.744 2.230 6.972
```

***

2.
A geometry-optimized Sr2MgTi6N2O11 structure, computed with PBE-GGA.

Values from the calculation:
Its distance to the lowest polymorph of the same formula is 0.0724 eV/atom.

Cell and atoms, written as extended XYZ:
```
22
Lattice="1.959 7.685 0.026 -1.959 7.685 0.026 0.000 2.657 9.568" Properties=species:S:1:pos:R:3 pbc="T T T"
O 0.000 15.621 3.096
O 0.000 5.883 0.765
Ti 0.000 14.116 4.026
Ti 0.000 13.431 7.280
N 0.000 5.318 7.228
O 0.000 14.791 5.754
O 0.000 2.637 9.478
Sr 0.000 9.631 2.844
Ti 0.000 13.290 0.402
O 0.000 2.407 6.425
O 0.000 12.594 2.378
O 0.000 12.148 8.979
O 0.000 2.982 1.144
Ti 0.000 3.979 5.641
Mg 0.000 10.309 9.556
Sr 0.000 8.370 6.724
O 0.000 12.115 5.507
N 0.000 15.055 8.416
O 0.000 5.975 3.914
O 0.000 3.263 3.735
Ti 0.000 4.708 9.103
Ti 0.000 4.585 2.392
```

***

3.
A geometry-optimized Sr2MgTi6N2O11 structure, computed with PBE-GGA.

Values from the calculation:
Its distance to the lowest polymorph of the same formula is 0.0648 eV/atom.

Cell and atoms, written as extended XYZ:
```
22
Lattice="0.029 3.686 -1.273 -0.031 -4.279 -6.094 -9.748 1.199 2.256" Properties=species:S:1:pos:R:3 pbc="T T T"
O -2.217 -0.874 -2.660
Ti -2.371 0.836 -3.696
N -7.128 1.402 -2.523
Ti -7.126 -0.259 -1.377
O -0.840 1.308 -2.062
O -8.729 -0.792 -2.905
Ti -8.947 1.122 -3.238
O -5.357 -0.809 -2.892
O -0.950 0.383 -5.009
N -8.566 0.266 -0.191
Mg -1.135 -2.795 -5.946
O -3.746 0.486 -4.811
O -2.773 0.378 -0.051
Ti -5.602 0.969 -3.718
O -3.969 1.451 -2.299
Sr -7.882 2.714 0.842
O -5.529 0.052 -0.324
O -9.537 0.557 -5.065
Ti -0.438 -0.650 -1.692
O -6.451 0.508 -5.235
Sr -4.501 -1.881 -5.586
Ti -3.853 -0.297 -1.369
```

***

4.
A geometry-optimized Sr2MgTi6N2O11 structure, computed with PBE-GGA.

Values from the calculation:
Its distance to the lowest polymorph of the same formula is 0.0000 eV/atom.

Cell and atoms, written as extended XYZ:
```
22
Lattice="-2.386 -5.411 5.370 0.347 -7.233 3.372 6.342 2.206 6.661" Properties=species:S:1:pos:R:3 pbc="T T T"
Ti 1.182 -2.320 3.731
Ti -1.251 -11.021 8.340
Sr 3.677 -4.275 8.926
Sr 0.162 -6.509 6.157
N 4.071 -8.598 13.409
O 2.139 -0.798 3.653
Ti 0.975 -9.667 10.149
O 0.051 -4.304 3.994
O 2.103 -9.705 11.726
O 2.139 -7.618 9.872
N 4.429 -1.232 7.180
O 4.287 0.718 5.207
Mg 5.510 -1.515 8.916
Ti 5.418 0.512 6.941
Ti 3.349 -0.925 5.423
O 0.039 -9.102 8.354
O 0.204 -2.011 2.113
O 4.419 -5.716 11.255
O 0.054 -11.174 10.264
O 0.183 0.026 0.227
O 2.135 -2.860 5.528
Ti 3.124 -8.095 11.654
```

***

5.
A geometry-optimized Sr2MgTi6N2O11 structure, computed with PBE-GGA.

Values from the calculation:
Its distance to the lowest polymorph of the same formula is 0.0552 eV/atom.

Cell and atoms, written as extended XYZ:
```
22
Lattice="1.971 7.391 0.020 -1.971 7.391 0.020 0.000 1.463 9.531" Properties=species:S:1:pos:R:3 pbc="T T T"
O 0.000 11.598 2.506
O 0.000 5.146 4.307
Ti 0.000 3.785 2.505
O 0.000 5.543 1.368
O 0.000 2.472 1.050
Sr 0.000 8.384 4.959
O 0.000 10.534 8.651
O 0.000 1.833 6.502
N 0.000 13.453 8.858
Ti 0.000 12.963 4.258
Mg 0.000 15.100 7.709
N 0.000 4.486 7.303
O 0.000 14.445 3.238
O 0.000 16.097 9.560
Ti 0.000 12.862 0.885
O 0.000 11.069 5.492
O 0.000 13.849 6.027
Ti 0.000 12.208 7.445
O 0.000 2.447 3.802
Sr 0.000 8.091 1.529
Ti 0.000 3.527 5.642
Ti 0.000 3.281 8.821
```

***

6.
A geometry-optimized Sr2MgTi6N2O11 structure, computed with PBE-GGA.

Values from the calculation:
Its distance to the lowest polymorph of the same formula is 0.0351 eV/atom.

Cell and atoms, written as extended XYZ:
```
22
Lattice="-3.325 -4.718 5.549 -0.983 -7.062 3.642 6.576 -0.448 8.626" Properties=species:S:1:pos:R:3 pbc="T T T"
Ti -0.528 -10.286 11.997
O -1.758 -8.668 8.497
O 0.259 -10.777 13.567
O 4.589 -1.137 7.033
Ti 3.238 -2.549 7.110
N 3.971 -3.150 8.749
O -1.900 -11.267 11.518
O -0.753 -4.055 4.059
Sr 2.953 -5.643 10.562
N 2.257 -10.308 15.443
O 0.694 -8.441 11.229
O 1.767 -3.944 7.018
O 1.893 -1.801 4.538
Sr -1.058 -5.998 6.075
O 0.092 -1.568 2.041
O 3.348 -7.772 13.666
Ti 2.001 -9.314 13.906
Ti 5.431 -1.701 8.762
Mg -0.182 -7.933 9.530
Ti -3.325 -10.095 8.327
O -4.083 -11.538 9.170
Ti 0.381 -2.487 3.525
```

***

7.
A geometry-optimized Sr2MgTi6N2O11 structure, computed with PBE-GGA.

Values from the calculation:
Its distance to the lowest polymorph of the same formula is 0.0262 eV/atom.

Cell and atoms, written as extended XYZ:
```
22
Lattice="-7.143 -1.211 -2.953 -4.726 -2.991 -5.471 -1.427 -8.190 4.418" Properties=species:S:1:pos:R:3 pbc="T T T"
O -8.727 -9.899 -1.382
Ti -3.275 -3.137 -0.927
Ti -10.202 -9.345 -3.190
N -3.852 -7.115 1.330
O -9.035 -7.467 -3.397
Ti -2.734 -7.750 2.853
O -11.539 -6.508 -6.478
Mg -8.518 -3.312 -5.837
O -4.234 -4.912 -0.593
O -2.106 -3.574 0.504
O -1.753 -5.975 2.540
N -11.194 -10.996 -2.975
O -2.231 -1.343 -1.193
Ti -10.707 -4.428 -7.150
O -9.362 -5.097 -5.386
O -1.477 -8.195 4.374
Sr -6.418 -8.233 -0.343
O -4.650 -2.675 -2.574
Ti -2.825 -5.411 1.112
O -11.244 -8.744 -4.615
Ti -10.441 -6.975 -5.095
Sr -6.696 -4.502 -3.247
```

***

8.
A geometry-optimized MgTaNO2 structure, computed with PBE-GGA.

Cell and atoms, written as extended XYZ:
```
5
Lattice="3.594 0.000 0.000 0.000 3.594 0.000 0.000 0.000 3.978" Properties=species:S:1:pos:R:3 pbc="T T T"
O 0.000 1.797 0.000
O 1.797 0.000 0.000
Mg 0.000 0.000 0.000
N 0.000 0.000 1.989
Ta 1.797 1.797 1.989
```

***

9.
A geometry-optimized MgTaNO2 structure, computed with PBE-GGA.

Cell and atoms, written as extended XYZ:
```
5
Lattice="3.930 0.000 0.000 0.000 3.930 0.000 0.000 0.000 4.133" Properties=species:S:1:pos:R:3 pbc="T T T"
O 0.000 1.965 0.000
Ta 0.000 0.000 0.000
Mg 1.965 1.965 2.067
O 1.965 0.000 0.000
N 0.000 0.000 2.067
```

***

10.
A geometry-optimized Tb6Mg2NO structure, computed with PBE-GGA.

Cell and atoms, written as extended XYZ:
```
10
Lattice="6.898 0.001 0.000 0.001 6.898 0.000 3.449 3.449 4.873" Properties=species:S:1:pos:R:3 pbc="T T T"
Tb 8.607 8.606 4.873
N 3.449 3.450 0.000
Tb 1.741 1.742 0.000
Tb 1.742 5.158 0.000
Mg 3.450 6.898 2.437
Tb 6.899 6.899 2.459
O 0.000 0.000 0.000
Tb 5.156 1.741 0.000
Mg 6.898 3.450 2.436
Tb 3.449 3.449 2.413
```

***

11.
A geometry-optimized MgTcNO2 structure, computed with PBE-GGA.

Cell and atoms, written as extended XYZ:
```
5
Lattice="-2.927 1.069 -2.318 -1.423 -3.611 0.132 -2.122 0.950 3.116" Properties=species:S:1:pos:R:3 pbc="T T T"
O -1.463 0.534 -1.159
N -1.061 0.475 1.558
O -0.711 -1.805 0.066
Tc 0.000 0.000 0.000
Mg -3.236 -0.796 0.465
```

***

12.
A geometry-optimized MgTcNO2 structure, computed with PBE-GGA.

Cell and atoms, written as extended XYZ:
```
5
Lattice="-2.038 0.700 -3.080 -1.840 -3.243 0.480 -2.743 1.888 2.244" Properties=species:S:1:pos:R:3 pbc="T T T"
Mg 0.000 0.000 0.000
O -1.019 0.350 -1.540
Tc -3.310 -0.327 -0.178
N -1.372 0.944 1.122
O -0.920 -1.621 0.240
```

***

| no. | formation energy from raw total energies (eV per atom) | final energy (eV per atom) |
| --- | --- | --- |
| 1 | -2.66 | -8.278 |
| 2 | -2.62 | -8.234 |
| 3 | -2.63 | -8.241 |
| 4 | -2.69 | -8.306 |
| 5 | -2.64 | -8.251 |
| 6 | -2.66 | -8.271 |
| 7 | -2.67 | -8.280 |
| 8 | -0.46 | -6.803 |
| 9 | -1.71 | -8.047 |
| 10 | -0.96 | -5.389 |
| 11 | -0.82 | -6.856 |
| 12 | 0.32 | -5.725 |